# 1
A relaxed K6Cd2O5 crystal. Source: the Open Quantum Materials Database, functional GGA-PBE.

a b c (Å): 6.9022 6.9022 6.8099
angles (deg): 93.53 93.53 120.21
Fractional coordinates of all 13 atoms:
K 0.0000 0.0000 0.0000
K 0.3474 0.3474 0.3680
K 0.4239 0.8643 0.2060
K 0.4875 0.9490 0.7008
K 0.8643 0.4239 0.2060
K 0.9490 0.4875 0.7008
Cd 0.4418 0.4418 0.8828
Cd 0.9047 0.9047 0.4999
O 0.1366 0.8113 0.4445
O 0.1737 0.4492 0.0137
O 0.4492 0.1737 0.0137
O 0.6569 0.6569 0.6862
O 0.8113 0.1366 0.4445

The value obtained for the polymorph energy (0 for the lowest one) is 0 meV/atom. The symmetry is Cm, No. 8. As for the crystal system: monoclinic.

# 2
A relaxed K6Cd2O5 crystal. Source: the Open Quantum Materials Database, functional GGA-PBE.

a b c (Å): 6.1241 7.6951 13.0760
angles (deg): 106.68 97.32 90.48
Fractional coordinates of all 26 atoms:
K 0.0427 0.4013 0.3785
K 0.0557 0.8899 0.3663
K 0.1837 0.0390 0.1212
K 0.1881 0.5886 0.1276
K 0.3107 0.2061 0.8786
K 0.4540 0.3340 0.6224
K 0.5460 0.6660 0.3776
K 0.6893 0.7939 0.1214
K 0.8119 0.4114 0.8724
K 0.8163 0.9610 0.8788
K 0.9443 0.1101 0.6337
K 0.9573 0.5987 0.6215
Cd 0.2012 0.6765 0.8592
Cd 0.3993 0.8815 0.6479
Cd 0.6007 0.1185 0.3521
Cd 0.7988 0.3235 0.1408
O 0.0058 0.7371 0.9880
O 0.1575 0.4073 0.7537
O 0.1786 0.8792 0.7740
O 0.2322 0.7070 0.5072
O 0.3881 0.8974 0.2703
O 0.6119 0.1026 0.7297
O 0.7678 0.2930 0.4928
O 0.8214 0.1208 0.2260
O 0.8425 0.5927 0.2463
O 0.9942 0.2629 0.0120

The value obtained for the polymorph energy (0 for the lowest one) is 23 meV/atom. The symmetry is P-1, No. 2. As for the crystal system: triclinic.

# 3
A relaxed K2CdOsO6 crystal. Source: the Open Quantum Materials Database, functional GGA-PBE.

a b c (Å): 5.8013 5.8178 8.2263
angles (deg): 90.06 90.03 90.04
Fractional coordinates of all 20 atoms:
K 0.0000 0.0000 0.0000
K 0.0001 0.9998 0.5001
K 0.4997 0.4998 0.9999
K 0.4999 0.4996 0.5000
Cd 0.9997 0.4994 0.2500
Cd 0.5001 0.0002 0.7500
Os 0.0000 0.5003 0.7500
Os 0.4998 0.9993 0.2500
O 0.0011 0.5002 0.5237
O 0.2243 0.2716 0.7505
O 0.2298 0.7237 0.7509
O 0.2674 0.7785 0.2490
O 0.2784 0.2307 0.2498
O 0.4989 0.9988 0.4762
O 0.5008 0.9998 0.0237
O 0.7210 0.7678 0.2501
O 0.7323 0.2200 0.2510
O 0.7703 0.2768 0.7491
O 0.7761 0.7292 0.7495
O 0.9988 0.5002 0.9762

The symmetry is P1, No. 1. As for the crystal system: triclinic.

# 4
A relaxed K2CdP2O7 crystal. Source: the Open Quantum Materials Database, functional GGA-PBE.

a b c (Å): 5.5962 5.5962 12.7193
angles (deg): 104.52 104.52 59.26
Fractional coordinates of all 24 atoms:
K 0.0575 0.6426 0.8302
K 0.3574 0.9425 0.6698
K 0.6426 0.0575 0.3302
K 0.9425 0.3574 0.1698
Cd 0.0000 0.5000 0.5000
Cd 0.5000 0.0000 0.0000
P 0.2568 0.6891 0.1302
P 0.3109 0.7432 0.3698
P 0.6891 0.2568 0.6302
P 0.7432 0.3109 0.8698
O 0.0135 0.2126 0.9499
O 0.1477 0.8523 0.2500
O 0.2004 0.5477 0.3771
O 0.2126 0.0135 0.4499
O 0.3741 0.4162 0.6385
O 0.4162 0.3741 0.1385
O 0.4523 0.7996 0.1229
O 0.5477 0.2004 0.8771
O 0.5838 0.6259 0.8615
O 0.6259 0.5838 0.3615
O 0.7874 0.9865 0.5501
O 0.7996 0.4523 0.6229
O 0.8523 0.1477 0.7500
O 0.9865 0.7874 0.0501

The symmetry is C2/c, No. 15. As for the crystal system: monoclinic.

# 5
A relaxed KCdP3O9 crystal. Source: the Open Quantum Materials Database, functional GGA-PBE.

a b c (Å): 6.3378 6.3378 6.3378
angles (deg): 107.85 107.85 107.85
Fractional coordinates of all 14 atoms:
K 0.0000 0.0000 0.0000
Cd 0.4929 0.4929 0.4929
P 0.0217 0.5990 0.4783
P 0.4783 0.0217 0.5990
P 0.5990 0.4783 0.0217
O 0.0926 0.4031 0.3690
O 0.2545 0.8670 0.6450
O 0.3690 0.0926 0.4031
O 0.4031 0.3690 0.0926
O 0.5674 0.6361 0.8927
O 0.6361 0.8927 0.5674
O 0.6450 0.2545 0.8670
O 0.8670 0.6450 0.2545
O 0.8927 0.5674 0.6361

The symmetry is R3, No. 146. As for the crystal system: trigonal.

# 6
A relaxed KCdPO4 crystal. Source: the Open Quantum Materials Database, functional GGA-PBE.

a b c (Å): 5.7962 5.7962 6.5196
angles (deg): 90.00 90.00 113.64
Fractional coordinates of all 14 atoms:
K 0.0000 0.0000 0.0000
K 0.0000 0.0000 0.5000
Cd 0.3389 0.6611 0.7500
Cd 0.6611 0.3389 0.2500
P 0.3622 0.6378 0.2500
P 0.6378 0.3622 0.7500
O 0.2627 0.3465 0.2500
O 0.2641 0.7359 0.0605
O 0.2641 0.7359 0.4395
O 0.3465 0.2627 0.7500
O 0.6535 0.7373 0.2500
O 0.7359 0.2641 0.5605
O 0.7359 0.2641 0.9395
O 0.7373 0.6535 0.7500

The symmetry is Cmcm, No. 63. As for the crystal system: orthorhombic.

# 7
A relaxed KPrCdO3 crystal. Source: the Open Quantum Materials Database, functional GGA-PBE.

a b c (Å): 6.6306 6.6306 9.5026
angles (deg): 90.00 90.00 146.93
Fractional coordinates of all 12 atoms:
K 0.1857 0.8143 0.7500
K 0.8143 0.1857 0.2500
Pr 0.5000 0.5000 0.0000
Pr 0.5000 0.5000 0.5000
Cd 0.0932 0.9068 0.2500
Cd 0.9068 0.0932 0.7500
O 0.1181 0.8819 0.0326
O 0.1181 0.8819 0.4674
O 0.4726 0.5274 0.2500
O 0.5274 0.4726 0.7500
O 0.8819 0.1181 0.5326
O 0.8819 0.1181 0.9674

The symmetry is Cmcm, No. 63. As for the crystal system: orthorhombic.

# 8
A relaxed KRbCdO2 crystal. Source: the Open Quantum Materials Database, functional GGA-PBE.

a b c (Å): 3.9926 3.9926 14.3483
angles (deg): 90.00 90.00 90.00
Fractional coordinates of all 10 atoms:
K 0.0000 0.0000 0.0000
K 0.5000 0.5000 0.5000
Rb 0.0000 0.0000 0.6600
Rb 0.5000 0.5000 0.1600
Cd 0.0000 0.0000 0.3302
Cd 0.5000 0.5000 0.8302
O 0.0000 0.0000 0.1923
O 0.0000 0.0000 0.4685
O 0.5000 0.5000 0.6923
O 0.5000 0.5000 0.9685

The symmetry is I4mm, No. 107. As for the crystal system: tetragonal.

# 9
A relaxed KScCdO3 crystal. Source: the Open Quantum Materials Database, functional GGA-PBE.

a b c (Å): 6.8447 6.8447 8.7728
angles (deg): 90.00 90.00 151.86
Fractional coordinates of all 12 atoms:
K 0.1781 0.8219 0.7500
K 0.8219 0.1781 0.2500
Sc 0.5000 0.5000 0.0000
Sc 0.5000 0.5000 0.5000
Cd 0.1016 0.8984 0.2500
Cd 0.8984 0.1016 0.7500
O 0.1043 0.8957 0.0143
O 0.1043 0.8957 0.4857
O 0.4812 0.5188 0.2500
O 0.5188 0.4812 0.7500
O 0.8957 0.1043 0.5143
O 0.8957 0.1043 0.9857

The symmetry is Cmcm, No. 63. As for the crystal system: orthorhombic.

# 10
A relaxed K2CdTeO6 crystal. Source: the Open Quantum Materials Database, functional GGA-PBE.

a b c (Å): 5.8876 5.8876 5.8876
angles (deg): 60.00 60.00 60.00
Fractional coordinates of all 10 atoms:
K 0.2500 0.2500 0.2500
K 0.7500 0.7500 0.7500
Cd 0.0000 0.0000 0.0000
Te 0.5000 0.5000 0.5000
O 0.2697 0.2697 0.7303
O 0.2697 0.7303 0.2697
O 0.2697 0.7303 0.7303
O 0.7303 0.2697 0.2697
O 0.7303 0.2697 0.7303
O 0.7303 0.7303 0.2697

The symmetry is Fm-3m, No. 225. As for the crystal system: cubic.

# 11
A relaxed KTmCdO3 crystal. Source: the Open Quantum Materials Database, functional GGA-PBE.

a b c (Å): 6.7929 6.7929 9.0270
angles (deg): 90.00 90.00 150.02
Fractional coordinates of all 12 atoms:
K 0.1801 0.8199 0.7500
K 0.8199 0.1801 0.2500
Tm 0.5000 0.5000 0.0000
Tm 0.5000 0.5000 0.5000
Cd 0.0992 0.9008 0.2500
Cd 0.9008 0.0992 0.7500
O 0.1095 0.8905 0.0197
O 0.1095 0.8905 0.4803
O 0.4796 0.5204 0.2500
O 0.5204 0.4796 0.7500
O 0.8905 0.1095 0.5197
O 0.8905 0.1095 0.9803

The symmetry is Cmcm, No. 63. As for the crystal system: orthorhombic.

# 12
A relaxed KYCdO3 crystal. Source: the Open Quantum Materials Database, functional GGA-PBE.

a b c (Å): 6.7291 6.7291 9.1479
angles (deg): 90.00 90.00 149.06
Fractional coordinates of all 12 atoms:
K 0.1821 0.8179 0.7500
K 0.8179 0.1821 0.2500
Y 0.5000 0.5000 0.0000
Y 0.5000 0.5000 0.5000
Cd 0.0975 0.9025 0.2500
Cd 0.9025 0.0975 0.7500
O 0.1124 0.8876 0.0229
O 0.1124 0.8876 0.4771
O 0.4777 0.5223 0.2500
O 0.5223 0.4777 0.7500
O 0.8876 0.1124 0.5229
O 0.8876 0.1124 0.9771

The symmetry is Cmcm, No. 63. As for the crystal system: orthorhombic.

Result set for E: -47.33 -94.05 -112.89 -147.93 -91.69 -81.41 -66.21 -36.62 -70.15 -46.21 -67.43 -70.83 eV for the cell shown, one per record in the order listed.